## LiLaGe (GGA-PBE)

Data for LiLaGe after structural relaxation.

Cell: 3.443 3.443 6.341 Å, 105.75 105.75 90.00°
Element x y z (fractional)
La (0.937, 0.937, 0.875)
Ge (0.258, 0.258, 0.517)
Li (0.654, 0.654, 0.309)

**Symmetry**: I4mm, No. 107
**VASP energy**: -12.387 eV for the cell shown